First-principles (PBE) data for an optimized crystal structure of La2SbW, as listed in Alexandria.

Results
**Total magnetic moment**: 1.543 μB per formula unit
**Space-group type**: No. 10
**E_form (uncorrected)**: 0.1202 eV per atom

Lattice parameters (Å, degrees): 4.0036 4.0057 7.9475 59.84 90.00 90.00
Closest atoms and distances in Å follow each position.
Atoms (fractional coordinates):
La 0.0000 0.0077 0.9917  4 W 3.28-3.29, 2 La 3.32-3.55, 4 Sb 3.34
La 0.0000 0.4923 0.5083  4 W 3.28-3.29, 2 La 3.32-3.55, 4 Sb 3.34
Sb 0.5000 0.2500 0.2500  8 La 3.34, 2 W 3.44
W 0.5000 0.7500 0.7500  8 La 3.28-3.29, 2 Sb 3.44

---

First-principles (PBE) data for an optimized crystal structure of La2SbW, as listed in Alexandria.

Results
**Total magnetic moment**: 0.000 μB per formula unit
**Space-group type**: No. 38
**E_form (uncorrected)**: -0.0438 eV per atom

Lattice parameters (Å, degrees): 4.5930 4.3029 6.2035 69.67 90.00 90.00
Closest atoms and distances in Å follow each position.
Atoms (fractional coordinates):
La 0.0000 0.9845 0.9057  3 Sb 3.24-3.40, 4 W 3.24-3.25
La 0.5000 0.2701 0.3350  4 Sb 3.27, 3 W 3.29-3.32
Sb 0.0000 0.6926 0.4896  2 W 2.82
W 0.5000 0.5528 0.7697  2 Sb 2.82

---

First-principles (PBE) data for an optimized crystal structure of La2SbW, as listed in Alexandria.

Results
**Total magnetic moment**: 1.136 μB per formula unit
**Space-group type**: No. 65
**E_form (uncorrected)**: 0.1332 eV per atom

Lattice parameters (Å, degrees): 3.4641 3.4641 9.1517 90.00 90.00 95.32
Closest atoms and distances in Å follow each position.
Atoms (fractional coordinates):
La 0.0000 0.0000 0.9703  4 W 3.08-3.26
La 0.0000 0.0000 0.5297  4 W 3.08-3.26
Sb 0.5000 0.5000 0.2500  8 La 3.46-3.62, 4 Sb 3.46
W 0.5000 0.5000 0.7500  8 La 3.08-3.26

---

First-principles (PBE) data for an optimized crystal structure of La2SbW, as listed in Alexandria.

Results
**Total magnetic moment**: 0.000 μB per formula unit
**Space-group type**: No. 122
**E_form (uncorrected)**: 0.3258 eV per atom

Lattice parameters (Å, degrees): 8.6307 8.6307 6.8013 50.62 50.62 90.00
Closest atoms and distances in Å follow each position.
Atoms (fractional coordinates):
Sb 0.5000 0.5000 0.0000  2 W 3.00
Sb 0.2500 0.7500 0.5000  2 W 3.00
W 0.0000 0.0000 0.0000  4 La 2.81, 2 Sb 3.00
W 0.7500 0.2500 0.5000  4 La 2.81, 2 Sb 3.00
La 0.6864 0.1250 0.2500  2 W 2.81
La 0.0636 0.6250 0.2500  2 W 2.81
La 0.3750 0.3136 0.7500  2 W 2.81
La 0.8750 0.9364 0.7500  2 W 2.81

---

First-principles (PBE) data for an optimized crystal structure of La2SbW, as listed in Alexandria.

Results
**Total magnetic moment**: 0.096 μB per formula unit
**Space-group type**: No. 166
**E_form (uncorrected)**: 0.3487 eV per atom

Lattice parameters (Å, degrees): 10.3650 10.3650 10.3650 19.74 19.74 19.74
Closest atoms and distances in Å follow each position.
Atoms (fractional coordinates):
La 0.0098 0.0098 0.0098  3 W 3.04
La 0.4902 0.4902 0.4902  3 W 3.04
Sb 0.2500 0.2500 0.2500  6 La 3.50, 6 Sb 3.55
W 0.7500 0.7500 0.7500  6 La 3.04

---

First-principles (PBE) data for an optimized crystal structure of La2SbW, as listed in Alexandria.

Results
**Total magnetic moment**: 0.000 μB per formula unit
**Space-group type**: No. 44
**E_form (uncorrected)**: 0.0207 eV per atom

Lattice parameters (Å, degrees): 6.6284 6.6284 5.0285 67.69 67.69 32.69
Closest atoms and distances in Å follow each position.
Atoms (fractional coordinates):
La 0.9673 0.9673 0.0329  4 Sb 3.29, 2 W 3.36, 2 La 3.56-3.57
La 0.7510 0.7510 0.7488  4 W 3.14, 2 Sb 3.41-3.42
Sb 0.5533 0.5533 0.4470  2 W 2.77
W 0.2284 0.2284 0.2713  2 Sb 2.77

---

First-principles (PBE) data for an optimized crystal structure of La2SbW, as listed in Alexandria.

Results
**Total magnetic moment**: 0.000 μB per formula unit
**Space-group type**: No. 99
**E_form (uncorrected)**: 0.1151 eV per atom

Lattice parameters (Å, degrees): 3.5977 3.5977 8.8169 90.00 90.00 90.02
Closest atoms and distances in Å follow each position.
Atoms (fractional coordinates):
La 0.0000 0.0000 0.9297  4 W 3.27, 1 Sb 3.29, 4 La 3.60
La 0.5000 0.5000 0.3167  4 Sb 3.31, 1 W 3.35, 4 La 3.60
Sb 0.0000 0.0000 0.5571  4 W 2.82-2.83
W 0.5000 0.5000 0.6965  4 Sb 2.82-2.83

---

First-principles (PBE) data for an optimized crystal structure of LaSbW3, as listed in Alexandria.

Results
**Total magnetic moment**: 0.000 μB per formula unit
**Energy above the most stable polymorph in this dataset**: 5.01 eV/f.u.
**Space-group type**: No. 221
**E_form (uncorrected)**: 2.8644 eV per atom

Lattice parameters (Å, degrees): 4.9250 4.9250 4.9250 90.00 90.00 90.00
Closest atoms and distances in Å follow each position.
Atoms (fractional coordinates):
Sb 0.5000 0.5000 0.5000  12 W 3.48
W 0.0000 0.5000 0.0000  2 La 2.46
W 0.0000 0.0000 0.5000  2 La 2.46
W 0.5000 0.0000 0.0000  2 La 2.46
La 0.0000 0.0000 0.0000  6 W 2.46

---

First-principles (PBE) data for an optimized crystal structure of LaSbW3, as listed in Alexandria.

Results
**Total magnetic moment**: 0.000 μB per formula unit
**Energy above the most stable polymorph in this dataset**: 0.00 eV/f.u.
**Space-group type**: No. 221
**E_form (uncorrected)**: 1.8615 eV per atom

Lattice parameters (Å, degrees): 4.9974 4.9974 4.9974 90.00 90.00 90.00
Closest atoms and distances in Å follow each position.
Atoms (fractional coordinates):
Sb 0.0000 0.0000 0.0000  6 W 2.50
W 0.0000 0.5000 0.0000  2 Sb 2.50
W 0.0000 0.0000 0.5000  2 Sb 2.50
W 0.5000 0.0000 0.0000  2 Sb 2.50
La 0.5000 0.5000 0.5000  12 W 3.53

---

First-principles (PBE) data for an optimized crystal structure of La2SbW, as listed in Alexandria.

Results
**Total magnetic moment**: 0.589 μB per formula unit
**Space-group type**: No. 123
**E_form (uncorrected)**: 0.0859 eV per atom

Lattice parameters (Å, degrees): 4.9917 4.9917 4.2678 90.00 90.00 90.00
Closest atoms and distances in Å follow each position.
Atoms (fractional coordinates):
La 0.0000 0.0000 0.0000  4 W 3.28, 4 Sb 3.28, 4 La 3.53
La 0.5000 0.5000 0.0000  4 W 3.28, 4 Sb 3.28, 4 La 3.53
Sb 0.5000 0.0000 0.5000  8 La 3.28, 4 W 3.53
W 0.0000 0.5000 0.5000  8 La 3.28, 4 Sb 3.53

---

First-principles (PBE) data for an optimized crystal structure of La2SbW, as listed in Alexandria.

Results
**Total magnetic moment**: 1.263 μB per formula unit
**Space-group type**: No. 139
**E_form (uncorrected)**: 0.1895 eV per atom

Lattice parameters (Å, degrees): 5.6616 5.6616 5.6616 129.13 129.13 74.81
Closest atoms and distances in Å follow each position.
Atoms (fractional coordinates):
La 0.0000 0.0000 0.0000  4 Sb 3.31, 4 W 3.31, 4 La 3.44
La 0.5000 0.5000 0.0000  4 W 3.31, 4 Sb 3.31, 4 La 3.44
Sb 0.2500 0.7500 0.5000  8 La 3.31, 4 W 3.44
W 0.7500 0.2500 0.5000  8 La 3.31, 4 Sb 3.44

---

First-principles (PBE) data for an optimized crystal structure of La3SbW, as listed in Alexandria.

Results
**Total magnetic moment**: 0.000 μB per formula unit
**Energy above the most stable polymorph in this dataset**: 0.00 eV/f.u.
**Space-group type**: No. 221
**E_form (uncorrected)**: 0.0029 eV per atom

Lattice parameters (Å, degrees): 5.5066 5.5066 5.5066 90.00 90.00 90.00
Closest atoms and distances in Å follow each position.
Atoms (fractional coordinates):
Sb 0.5000 0.5000 0.5000  12 La 3.89
W 0.0000 0.0000 0.0000  6 La 2.75
La 0.0000 0.5000 0.0000  2 W 2.75
La 0.0000 0.0000 0.5000  2 W 2.75
La 0.5000 0.0000 0.0000  2 W 2.75